This record from Alexandria via LeMat-Bulk describes CoMoH2SeO7 after structural relaxation. The functional is GGA+U.

The structure in POSCAR format:
```
CoMoH2SeO7
1.0
5.070 0.005 0.016
-2.222 6.313 0.019
-1.053 -0.626 8.880
Co Mo H Se O
2 2 4 2 14
direct
0.500 0.000 0.000 Co
0.000 0.500 0.500 Co
0.205 0.406 0.103 Mo
0.795 0.594 0.897 Mo
0.627 0.142 0.365 H
0.474 0.248 0.485 H
0.526 0.752 0.515 H
0.373 0.858 0.635 H
0.849 0.810 0.257 Se
0.151 0.190 0.743 Se
0.161 0.691 0.010 O
0.266 0.160 0.104 O
0.627 0.583 0.128 O
0.653 0.973 0.223 O
0.139 0.458 0.286 O
0.653 0.250 0.448 O
0.781 0.717 0.428 O
0.219 0.283 0.572 O
0.347 0.750 0.552 O
0.861 0.542 0.714 O
0.347 0.027 0.777 O
0.373 0.417 0.872 O
0.734 0.840 0.896 O
0.839 0.309 0.990 O
```

Calculated values
Symmetry = No. 2
Total moment = 3.01 μB per formula unit
Final energy = -0.2181 Ha/atom